(1)
# Sm3ScTl4Te8 PBE optimized geometry
data_Sm3ScTl4Te8
_chemical_formula_sum 'Sm9 Sc3 Tl12 Te24'
_cell_length_a 8.9257
_cell_length_b 8.9257
_cell_length_c 24.5035
_cell_angle_alpha 90.00
_cell_angle_beta 90.00
_cell_angle_gamma 120.00
_symmetry_space_group_name_H-M 'R -3 m'
_symmetry_Int_Tables_number 166
_symmetry_space_group_name_Hall '-R 3 2"'
loop_
_atom_site_label
_atom_site_type_symbol
_atom_site_fract_x
_atom_site_fract_y
_atom_site_fract_z
Sm1 Sm 0.0000 0.5000 0.0000
Sc1 Sc 0.0000 0.0000 0.0000
Tl1 Tl 0.0000 0.0000 0.5000
Tl2 Tl 0.0000 0.5000 0.5000
Te1 Te 0.0000 0.0000 0.2599
Te2 Te 0.0148 0.5074 0.7373
# Size of the total moment   0.0 μB per cell
# Raw total energy   -71.494 eV per formula unit
# Raw formation energy   -1.025 eV per atom


(2)
# SmSc2Tl3Te6 PBE optimized geometry
data_SmSc2Tl3Te6
_chemical_formula_sum 'Sm2 Sc4 Tl6 Te12'
_cell_length_a 7.546
_cell_length_b 13.050
_cell_length_c 8.525
_cell_angle_alpha 90.00
_cell_angle_beta 107.17
_cell_angle_gamma 90.00
_symmetry_space_group_name_H-M 'C 1 2/m 1'
_symmetry_Int_Tables_number 12
loop_
_symmetry_equiv_pos_as_xyz
'x,y,z'
'-x,-y,-z'
'-x,y,-z'
'x,-y,z'
'x+1/2,y+1/2,z'
'-x+1/2,-y+1/2,-z'
'-x+1/2,y+1/2,-z'
'x+1/2,-y+1/2,z'
loop_
_atom_site_label
_atom_site_type_symbol
_atom_site_fract_x
_atom_site_fract_y
_atom_site_fract_z
Sm1 Sm 0.000 0.000 0.000
Sc1 Sc 0.000 0.332 0.000
Tl1 Tl 0.000 0.160 0.500
Tl2 Tl 0.000 0.500 0.500
Te1 Te 0.218 0.500 0.204
Te2 Te 0.245 0.175 0.209
# Size of the total moment   0.0 μB per cell
# Raw total energy   -54.919 eV per formula unit
# Raw formation energy   -0.966 eV per atom
# D(E_F)   0.3 states/eV/cell


(3)
# SmTm2ScTe6 PBE optimized geometry
data_SmTm2ScTe6
_chemical_formula_sum 'Sm3 Tm6 Sc3 Te18'
_cell_length_a 7.5880
_cell_length_b 7.5880
_cell_length_c 20.8074
_cell_angle_alpha 90.00
_cell_angle_beta 90.00
_cell_angle_gamma 120.00
_symmetry_space_group_name_H-M 'R 3'
_symmetry_Int_Tables_number 146
_symmetry_space_group_name_Hall 'R 3'
loop_
_atom_site_label
_atom_site_type_symbol
_atom_site_fract_x
_atom_site_fract_y
_atom_site_fract_z
Sm1 Sm 0.0000 0.0000 0.0000
Tm1 Tm 0.0000 0.0000 0.3128
Tm2 Tm 0.0000 0.0000 0.8155
Sc1 Sc 0.0000 0.0000 0.4969
Te1 Te 0.0073 0.6972 0.4086
Te2 Te 0.0139 0.3383 0.5710
# Size of the total moment   0.0 μB per cell
# Raw total energy   -51.822 eV per formula unit
# Raw formation energy   -1.298 eV per atom